Record 1
A relaxed structure of Sn2SbS. Source: Alexandria via LeMat-Bulk, functional GGA-PBE.

a = 4.2719 Å, b = 4.2719 Å, c = 7.2465 Å
α = 72.86°, β = 72.86°, γ = 60.00°
With the nearest neighbours (Å) after each atom.
Atoms (fractional coordinates):
1 Sb 0.5000 0.5000 0.5000  6 Sn 3.05
2 S 0.0000 0.0000 0.0000  6 Sn 2.94
3 Sn 0.2547 0.2547 0.2358  3 S 2.94, 3 Sb 3.05
4 Sn 0.7453 0.7453 0.7642  3 S 2.94, 3 Sb 3.05

Space-group type   R-3m
Theoretical density   6.03 g/cm³
Formation energy (no corrections)   -0.423 eV per formula unit
Electronic total energy   -4.17 eV per atom
Polymorph energy (0 for the lowest one)   0.000 eV per atom

***

Record 2
A relaxed structure of Li4Mg3Sn2. Source: Alexandria via LeMat-Bulk, functional GGA-PBE.

a = 4.7797 Å, b = 4.7683 Å, c = 8.8506 Å
α = 90.23°, β = 90.00°, γ = 120.08°
With the nearest neighbours (Å) after each atom.
Atoms (fractional coordinates):
1 Li 0.6669 0.3339 0.1090  4 Mg 2.84-2.92, 4 Sn 2.93
2 Li 0.9997 0.9993 0.6746  4 Mg 2.88-2.91, 3 Sn 2.90, 1 Li 3.09
3 Li 0.0003 0.0007 0.3254  4 Mg 2.88-2.91, 3 Sn 2.90, 1 Li 3.09
4 Li 0.3331 0.6661 0.8910  4 Mg 2.84-2.92, 4 Sn 2.93
5 Mg 0.3332 0.6664 0.5699  4 Li 2.84-2.91, 3 Mg 3.02, 1 Sn 3.08
6 Mg 0.0000 0.0000 0.0000  8 Li 2.88-2.92
7 Mg 0.6668 0.3336 0.4301  4 Li 2.84-2.91, 3 Mg 3.02, 1 Sn 3.08
8 Sn 0.3339 0.6678 0.2223  7 Li 2.90-2.93, 1 Mg 3.08
9 Sn 0.6661 0.3322 0.7777  7 Li 2.90-2.93, 1 Mg 3.08

Space-group type   C2/m
Theoretical density   3.22 g/cm³
Formation energy from the elements   -0.251 eV per atom
Electronic total energy   -2.52 eV per atom

***

| no. | DOS at the Fermi energy (states/eV/cell) |
| --- | --- |
| 1 | 3.0 |
| 2 | 1.3 |